Na3MgI4: optimized geometry, PBE-GGA.

Uncorrected formation energy in eV/atom: -0.98

CIF file:
```
data_Na3MgI4
_chemical_formula_sum 'Na6 Mg2 I8'
_space_group_name_H-M_alt 'P m n 21'
_space_group_IT_number 31
_space_group_name_Hall 'P 2ac -2'
_cell_length_a 10.9716
_cell_length_b 9.7286
_cell_length_c 6.3974
_cell_angle_alpha 90.00
_cell_angle_beta 90.00
_cell_angle_gamma 90.00
loop_
_atom_site_label
_atom_site_fract_x
_atom_site_fract_y
_atom_site_fract_z
Na1 0.0000 0.1691 0.0000
Na2 0.2493 0.6648 0.0000
Mg1 0.0000 0.8360 0.4980
I1 0.0000 0.1708 0.4999
I2 0.0000 0.8386 0.9982
I3 0.2493 0.3370 0.9999
```